CaInAg2Br: optimized geometry, GGA-PBE.

The value obtained for the total energy is -1.900 eV per atom. The volume is 75.547 Å³ per atom. The formation energy from raw total energies is 523 meV per atom.

The structure belongs to space group P4/mmm (No. 123); the cell edges are 5.887, 5.887 and 10.900 Å and the angles 90.00°, 90.00° and 90.00°. The asymmetric unit holds Ca at (0.000, 0.000, 0.000), In at (0.000, 0.000, 0.500), Ag at (0.000, 0.500, 0.000) and Br at (0.500, 0.500, 0.500).